# DyThCoTc

A relaxed structure of DyThCoTc (PBE, Alexandria).

Geometry as extended XYZ:
```
4
Lattice="0.0000 3.4515 3.4515 3.4515 0.0000 3.4515 3.4515 3.4515 0.0000" Properties=species:S:1:pos:R:3 pbc="T T T"
Dy 0.0000 0.0000 0.0000
Th 3.4515 3.4515 3.4515
Co 5.1772 5.1772 5.1772
Tc 1.7257 1.7257 1.7257
```

Values from the calculation:
Size of the total moment in μB per atom: 0.1090
Formation enthalpy at 0 K in eV/f.u.: -0.339
Mass density in g/cm3: 11.14
Space-group type: F-43m (216)